The following is a GGA-PBE calculation of a relaxed structure of AsP2SF, from Alexandria via LeMat-Bulk.

extended XYZ file:
```
5
Lattice="4.015 0.000 0.000 0.000 4.015 0.000 0.000 0.000 5.570" Properties=species:S:1:pos:R:3 pbc="T T T"
As 0.000 0.000 0.000
P 0.000 2.007 2.785
P 2.007 0.000 2.785
S 2.007 2.007 0.000
F 2.007 2.007 2.785
```

Calculated values
energy above the most stable polymorph in this dataset: 0.000 eV per formula unit
calculated total energy: -3.51 eV/atom
formation energy without anion corrections: 780 meV/atom
density: 3.476 g cm⁻³